1.
The following is a PBE calculation of crystalline Ba2AcCl at its relaxed geometry, from the Alexandria database.

a b c (Å): 3.9975 3.9975 10.8855
angles (deg): 90.00 90.00 90.00
Space group P4/mmm (No. 123)
Inequivalent atoms, fractional coordinates:
1 Ba 0.0000 0.0000 0.2076 x2
2 Ac 0.5000 0.5000 0.5000 x1
3 Cl 0.5000 0.5000 0.0000 x1

* DOS at the Fermi energy: 1.088 states/eV/atom
* ΔE_f (raw): -2.90 eV/f.u.

2.
The following is a PBE calculation of crystalline Ag2Te7Au2 at its relaxed geometry, from the Alexandria database.

a b c (Å): 6.2814 7.6635 9.0982
angles (deg): 77.85 74.23 88.21
Space group P-1 (No. 2)
Inequivalent atoms, fractional coordinates:
1 Ag 0.1666 0.2729 0.3610 x2
2 Te 0.0000 0.0000 0.0000 x1
3 Te 0.0781 0.0108 0.6560 x2
4 Te 0.2696 0.4849 0.0520 x2
5 Te 0.2915 0.5511 0.4767 x2
6 Au 0.1816 0.7493 0.2078 x2

* DOS at the Fermi energy: 0.326 states/eV/atom
* ΔE_f (raw): 0.71 eV/f.u.

3.
The following is a PBE calculation of crystalline CeHo2Pa3P6 at its relaxed geometry, from the Alexandria database.

a b c (Å): 6.9099 11.9720 6.9085
angles (deg): 90.00 109.52 90.00
Space group C2/m (No. 12)
Inequivalent atoms, fractional coordinates:
1 Ce 0.0000 0.0000 0.0000 x2
2 Ho 0.0000 0.3331 0.0000 x4
3 Pa 0.0000 0.1659 0.5000 x4
4 Pa 0.0000 0.5000 0.5000 x2
5 P 0.2464 0.3315 0.7452 x8
6 P 0.2473 0.5000 0.2536 x4

* DOS at the Fermi energy: 1.093 states/eV/atom
* ΔE_f: -1437 meV per atom

4.
The following is a PBE calculation of crystalline GaHg2I6 at its relaxed geometry, from the Alexandria database.

a b c (Å): 15.0731 16.9402 9.7541
angles (deg): 90.00 117.30 90.00
Space group C2/c (No. 15)
Inequivalent atoms, fractional coordinates:
1 Ga 0.0000 0.1965 0.2500 x4
2 Hg 0.2021 0.4351 0.4231 x8
3 I 0.0761 0.1082 0.4948 x8
4 I 0.1339 0.2810 0.2219 x8
5 I 0.1668 0.4509 0.6847 x8

* DOS at the Fermi energy: 0.403 states/eV/atom
* ΔE_f (raw): -2.72 eV/f.u.

5.
The following is a PBE calculation of crystalline ZnSbF2 at its relaxed geometry, from the Alexandria database.

a b c (Å): 5.8165 5.8165 8.3943
angles (deg): 90.00 90.00 90.00
Space group I-42d (No. 122)
Inequivalent atoms, fractional coordinates:
1 Zn 0.0000 0.0000 0.0000 x4
2 Sb 0.0000 0.0000 0.5000 x4
3 F 0.1058 0.2500 0.1250 x8

* DOS at the Fermi energy: 0.104 states/eV/atom
* ΔE_f (raw): -4.88 eV/f.u.

6.
The following is a PBE calculation of crystalline CeSmGeRh at its relaxed geometry, from the Alexandria database.

a b c (Å): 7.1522 7.1522 7.1522
angles (deg): 90.00 90.00 90.00
Space group F-43m (No. 216)
Inequivalent atoms, fractional coordinates:
1 Ce 0.0000 0.0000 0.0000 x4
2 Sm 0.0000 0.0000 0.5000 x4
3 Ge 0.2500 0.2500 0.7500 x4
4 Rh 0.2500 0.2500 0.2500 x4

* DOS at the Fermi energy: 1.437 states/eV/atom
* ΔE_f: -602 meV per atom

7.
The following is a PBE calculation of crystalline Cs2NaTl12In3 at its relaxed geometry, from the Alexandria database.

a b c (Å): 11.6249 11.6249 15.9945
angles (deg): 90.00 90.00 120.00
Space group R-3m (No. 166, hexagonal axes)
Inequivalent atoms, fractional coordinates:
1 Cs 0.0000 0.0000 0.2210 x6
2 Na 0.0000 0.0000 0.5000 x3
3 Tl 0.0163 0.5082 0.2012 x18
4 Tl 0.0359 0.5179 0.6031 x18
5 In 0.0000 0.5000 0.0000 x9

* DOS at the Fermi energy: 0.713 states/eV/atom
* ΔE_f: 46 meV per atom

8.
The following is a PBE calculation of crystalline Cd2BiPb at its relaxed geometry, from the Alexandria database.

a b c (Å): 7.6447 10.1389 5.8683
angles (deg): 90.00 92.41 90.00
Space group P2_1/c (No. 14)
Inequivalent atoms, fractional coordinates:
1 Cd 0.0518 0.1651 0.2476 x4
2 Cd 0.4484 0.1651 0.2482 x4
3 Bi 0.2498 0.0464 0.7487 x4
4 Pb 0.2500 0.6236 0.7492 x4

* DOS at the Fermi energy: 0.458 states/eV/atom
* ΔE_f: 60 meV per atom

9.
The following is a PBE calculation of crystalline PuNbGaRu at its relaxed geometry, from the Alexandria database.

a b c (Å): 6.5236 6.5236 6.5236
angles (deg): 90.00 90.00 90.00
Space group F-43m (No. 216)
Inequivalent atoms, fractional coordinates:
1 Pu 0.0000 0.0000 0.0000 x4
2 Nb 0.2500 0.2500 0.2500 x4
3 Ga 0.0000 0.0000 0.5000 x4
4 Ru 0.2500 0.2500 0.7500 x4

* DOS at the Fermi energy: 1.983 states/eV/atom
* ΔE_f: -131 meV per atom

10.
The following is a PBE calculation of crystalline Zr5Tl2Si2 at its relaxed geometry, from the Alexandria database.

a b c (Å): 14.8466 7.1961 7.1751
angles (deg): 90.00 90.00 90.00
Space group Cmce (No. 64)
Inequivalent atoms, fractional coordinates:
1 Zr 0.0000 0.0000 0.0000 x4
2 Zr 0.1180 0.1795 0.3237 x16
3 Tl 0.2220 0.0000 0.0000 x8
4 Si 0.0000 0.1204 0.6223 x8

* DOS at the Fermi energy: 0.703 states/eV/atom
* ΔE_f (raw): -4.49 eV/f.u.

11.
The following is a PBE calculation of crystalline ErMgTlGa at its relaxed geometry, from the Alexandria database.

a b c (Å): 7.1899 7.1899 7.1899
angles (deg): 90.00 90.00 90.00
Space group F-43m (No. 216)
Inequivalent atoms, fractional coordinates:
1 Er 0.0000 0.0000 0.0000 x4
2 Mg 0.0000 0.0000 0.5000 x4
3 Tl 0.2500 0.2500 0.2500 x4
4 Ga 0.2500 0.2500 0.7500 x4

* DOS at the Fermi energy: 0.502 states/eV/atom
* ΔE_f: -252 meV per atom

12.
The following is a PBE calculation of crystalline YMg2F at its relaxed geometry, from the Alexandria database.

a b c (Å): 6.5021 6.5021 9.0143
angles (deg): 90.00 90.00 90.00
Space group I-42d (No. 122)
Inequivalent atoms, fractional coordinates:
1 Y 0.0000 0.0000 0.0000 x4
2 Mg 0.0539 0.2500 0.6250 x8
3 F 0.0000 0.0000 0.5000 x4

* DOS at the Fermi energy: 1.018 states/eV/atom
* ΔE_f (raw): -3.84 eV/f.u.

13.
The following is a PBE calculation of crystalline RbVSn2H at its relaxed geometry, from the Alexandria database.

a b c (Å): 6.3126 6.3126 5.3966
angles (deg): 90.00 90.00 90.00
Space group P4/mmm (No. 123)
Inequivalent atoms, fractional coordinates:
1 Rb 0.0000 0.0000 0.0000 x1
2 V 0.0000 0.0000 0.5000 x1
3 Sn 0.0000 0.5000 0.0000 x2
4 H 0.5000 0.5000 0.5000 x1

* DOS at the Fermi energy: 1.235 states/eV/atom
* electronic total energy: -2.106 eV/atom

14.
The following is a PBE calculation of crystalline Ba2BeVP at its relaxed geometry, from the Alexandria database.

a b c (Å): 6.2355 6.2355 4.5849
angles (deg): 90.00 90.00 90.00
Space group P4/mmm (No. 123)
Inequivalent atoms, fractional coordinates:
1 Ba 0.0000 0.5000 0.0000 x2
2 Be 0.0000 0.0000 0.5000 x1
3 V 0.5000 0.5000 0.5000 x1
4 P 0.5000 0.5000 0.0000 x1

* DOS at the Fermi energy: 0.938 states/eV/atom
* ΔE_f: 257 meV per atom

15.
The following is a PBE calculation of crystalline Ca12Bi3S5 at its relaxed geometry, from the Alexandria database.

a b c (Å): 17.4004 17.4004 17.4004
angles (deg): 90.00 90.00 90.00
Space group Ia-3d (No. 230)
Inequivalent atoms, fractional coordinates:
1 Ca 0.0258 0.0598 0.6506 x96
2 Bi 0.0000 0.2500 0.1250 x24
3 S 0.0000 0.0000 0.0000 x16
4 S 0.0000 0.2500 0.3750 x24

* DOS at the Fermi energy: 0.741 states/eV/atom
* ΔE_f (raw): -23.37 eV/f.u.

16.
The following is a PBE calculation of crystalline PmY3Er6 at its relaxed geometry, from the Alexandria database.

a b c (Å): 11.0210 18.8917 6.1454
angles (deg): 90.00 90.00 90.00
Space group Cmc2_1 (No. 36)
Inequivalent atoms, fractional coordinates:
1 Pm 0.0000 0.2085 0.0000 x4
2 Y 0.0000 0.3911 0.9149 x4
3 Y 0.1724 0.1081 0.3054 x8
4 Er 0.0000 0.0479 0.7700 x4
5 Er 0.0000 0.2850 0.4843 x4
6 Er 0.1647 0.4522 0.3738 x8
7 Er 0.2474 0.2114 0.7122 x8

* DOS at the Fermi energy: 1.422 states/eV/atom
* ΔE_f: 142 meV per atom

17.
The following is a PBE calculation of crystalline CaDyTlRh at its relaxed geometry, from the Alexandria database.

a b c (Å): 7.2383 7.2383 7.2383
angles (deg): 90.00 90.00 90.00
Space group F-43m (No. 216)
Inequivalent atoms, fractional coordinates:
1 Ca 0.0000 0.0000 0.0000 x4
2 Dy 0.0000 0.0000 0.5000 x4
3 Tl 0.2500 0.2500 0.2500 x4
4 Rh 0.2500 0.2500 0.7500 x4

* DOS at the Fermi energy: 0.902 states/eV/atom
* ΔE_f: -394 meV per atom

18.
The following is a PBE calculation of crystalline SrMoW2 at its relaxed geometry, from the Alexandria database.

a b c (Å): 9.1219 2.7321 6.6066
angles (deg): 90.00 91.23 90.00
Space group Cm (No. 8)
Inequivalent atoms, fractional coordinates:
1 Sr 0.0000 0.0000 0.0000 x2
2 Mo 0.2587 0.5000 0.3096 x2
3 W 0.0024 0.5000 0.4986 x2
4 W 0.2445 0.0000 0.6869 x2

* DOS at the Fermi energy: 1.097 states/eV/atom
* ΔE_f: 1048 meV per atom

19.
The following is a PBE calculation of crystalline Ac2AuBr at its relaxed geometry, from the Alexandria database.

a b c (Å): 4.4940 4.4940 24.7139
angles (deg): 90.00 90.00 120.00
Space group R3m (No. 160, hexagonal axes)
Inequivalent atoms, fractional coordinates:
1 Ac 0.0000 0.0000 0.0000 x3
2 Ac 0.0000 0.0000 0.1916 x3
3 Au 0.0000 0.0000 0.5953 x3
4 Br 0.0000 0.0000 0.7644 x3

* DOS at the Fermi energy: 0.514 states/eV/atom
* ΔE_f (raw): -4.07 eV/f.u.